A relaxed In2CoIr2 crystal, computed with PBE.

Unit cell a=6.510 b=6.510 c=4.151 alpha=90.00 beta=90.00 gamma=90.00
Space group P4/mbm (No. 127)
Inequivalent atoms, fractional coordinates:
In1 0.170 0.330 0.000 x4
Co1 0.000 0.000 0.500 x2
Ir1 0.139 0.639 0.500 x4

Results
- Total magnetic moment: 2.019 μB per formula unit
- Energy of formation: 0.093 eV/atom